(1)
The following is a DFT calculation (PBE) of a geometry-optimized Pr4Ga2Ag structure.

a = 5.1461 Å, b = 5.1461 Å, c = 9.6672 Å
α = 74.56°, β = 74.56°, γ = 60.00°
Fractional coordinates of all 7 atoms:
Ga1 0.9064 0.9064 0.2809
Ga2 0.0936 0.0936 0.7191
Ag1 0.0000 0.0000 0.0000
Pr1 0.2056 0.2056 0.3832
Pr2 0.3783 0.3783 0.8650
Pr3 0.6217 0.6217 0.1350
Pr4 0.7944 0.7944 0.6168

## Properties
energy relative to the lowest polymorph listed for this composition	0.569	eV per formula unit
ΔE_f	-1.7	eV/f.u.
raw total energy	-29.75	eV/f.u.
mass density	6.383	g/cm3
DOS(E_F)	9.40	states/eV/f.u.
SG	R-3m

=====

(2)
The following is a DFT calculation (PBE) of a geometry-optimized LiPuMn2 structure.

a = 3.5335 Å, b = 4.1251 Å, c = 4.1251 Å
α = 90.00°, β = 90.00°, γ = 90.00°
Each line ends with the local moment (μB).
Fractional coordinates of all 4 atoms:
Li1 0.5000 0.0000 0.0000  -0.05
Pu1 0.5000 0.5000 0.5000  -4.92
Mn1 0.0000 0.0000 0.5000  2.67
Mn2 0.0000 0.5000 0.0000  2.67

## Properties
ΔE_f	0.6	eV/f.u.
raw total energy	-33.97	eV/f.u.
mass density	9.965	g/cm3
DOS(E_F)	3.61	states/eV/f.u.
SG	P4/mmm

=====

(3)
The following is a DFT calculation (PBE) of a geometry-optimized Er6AgOs2 structure.

a = 8.3875 Å, b = 8.3875 Å, c = 8.3875 Å
α = 103.64°, β = 112.35°, γ = 112.57°
Fractional coordinates of all 18 atoms:
Ag1 0.0000 0.0000 0.0000
Ag2 0.0000 0.5000 0.5000
Os1 0.6778 0.0000 0.6778
Os2 0.5000 0.3774 0.8774
Os3 0.3222 0.0000 0.3222
Os4 0.5000 0.6226 0.1226
Er1 0.4608 0.2787 0.1821
Er2 0.7988 0.2449 0.0437
Er3 0.2012 0.7551 0.9563
Er4 0.7988 0.7551 0.5539
Er5 0.6839 0.0162 0.3323
Er6 0.3161 0.9838 0.6677
Er7 0.9034 0.7213 0.1821
Er8 0.5392 0.7213 0.8179
Er9 0.0966 0.2787 0.8179
Er10 0.3161 0.6484 0.3323
Er11 0.2012 0.2449 0.4461
Er12 0.6839 0.3516 0.6677

## Properties
ΔE_f	-2.4	eV/f.u.
raw total energy	-55.14	eV/f.u.
mass density	10.992	g/cm3
DOS(E_F)	8.58	states/eV/f.u.
SG	Immm

=====

(4)
The following is a DFT calculation (PBE) of a geometry-optimized PmTh2Al structure.

a = 3.6440 Å, b = 3.6440 Å, c = 8.9803 Å
α = 90.00°, β = 90.00°, γ = 90.00°
Fractional coordinates of all 4 atoms:
Th1 0.0000 0.0000 0.2118
Th2 0.0000 0.0000 0.7882
Pm1 0.5000 0.5000 0.5000
Al1 0.5000 0.5000 0.0000

## Properties
energy relative to the lowest polymorph listed for this composition	0.326	eV per formula unit
ΔE_f	-0.1	eV/f.u.
raw total energy	-23.48	eV/f.u.
mass density	8.857	g/cm3
DOS(E_F)	5.47	states/eV/f.u.
SG	P4/mmm

=====

(5)
The following is a DFT calculation (PBE) of a geometry-optimized SrCaRe2 structure.

a = 5.0846 Å, b = 5.0846 Å, c = 5.0846 Å
α = 60.00°, β = 60.00°, γ = 60.00°
Each line ends with the local moment (μB).
Fractional coordinates of all 4 atoms:
Re1 0.7500 0.7500 0.7500  1.60
Re2 0.2500 0.2500 0.2500  1.60
Ca1 0.0000 0.0000 0.0000  0.04
Sr1 0.5000 0.5000 0.5000  0.04

## Properties
energy relative to the lowest polymorph listed for this composition	5.200	eV per formula unit
ΔE_f	6.5	eV/f.u.
raw total energy	-22.08	eV/f.u.
mass density	8.934	g/cm3
DOS(E_F)	4.99	states/eV/f.u.
SG	Fm-3m

=====

(6)
The following is a DFT calculation (PBE) of a geometry-optimized Dy2Y4Tm2Th structure.

a = 3.5847 Å, b = 9.4588 Å, c = 9.5119 Å
α = 115.14°, β = 90.00°, γ = 100.92°
Fractional coordinates of all 9 atoms:
Y1 0.4817 0.9635 0.6698
Y2 0.8152 0.6304 0.6676
Y3 0.5183 0.0365 0.3302
Y4 0.1848 0.3696 0.3324
Dy1 0.1485 0.2970 0.6682
Dy2 0.8515 0.7030 0.3318
Tm1 0.3344 0.6688 0.9981
Tm2 0.6656 0.3312 0.0019
Th1 0.0000 0.0000 0.0000

## Properties
ΔE_f	0.0	eV/f.u.
raw total energy	-51.38	eV/f.u.
mass density	7.274	g/cm3
DOS(E_F)	13.13	states/eV/f.u.
SG	C2/m

=====

(7)
The following is a DFT calculation (PBE) of a geometry-optimized VGe2SN structure.

a = 4.1987 Å, b = 4.1910 Å, c = 4.1987 Å
α = 90.00°, β = 90.00°, γ = 90.00°
Each line ends with the local moment (μB).
Fractional coordinates of all 5 atoms:
N1 0.0000 0.0000 0.0000  -0.01
Ge1 0.5000 0.0000 0.0000  0.00
Ge2 0.0000 0.0000 0.5000  0.00
S1 0.0000 0.5000 0.0000  -0.01
V1 0.5000 0.5000 0.5000  0.13

## Properties
raw total energy	-26.28	eV/f.u.
uncorrected formation energy	905	meV per atom
mass density	5.446	g/cm3
DOS(E_F)	4.39	states/eV/f.u.
SG	P4/mmm

=====

(8)
The following is a DFT calculation (PBE) of a geometry-optimized FeSiBP structure.

a = 2.9908 Å, b = 3.2811 Å, c = 5.2599 Å
α = 93.46°, β = 99.87°, γ = 103.09°
Fractional coordinates of all 4 atoms:
P1 0.6323 0.8941 0.1885
Si1 0.0032 0.4942 0.7472
B1 0.0956 0.0432 0.9858
Fe1 0.3777 0.3647 0.3953

## Properties
energy relative to the lowest polymorph listed for this composition	0.691	eV per formula unit
raw total energy	-25.67	eV/f.u.
uncorrected formation energy	77	meV per atom
mass density	4.237	g/cm3
DOS(E_F)	1.11	states/eV/f.u.
SG	P1